The following is a PBE calculation of a relaxed ErSbPd3 crystal, from Alexandria via LeMat-Bulk.

Calculated values
Its formation energy without anion corrections is -0.4098 eV/atom. The total energy comes out at -0.19339 Ha/atom.

Cell: 9.756 9.756 9.756 Å, 149.22 149.22 44.08°
Positions (direct):
1 Er 0.126 0.126 0.000
2 Er 0.874 0.874 0.000
3 Sb 0.250 0.750 0.500
4 Sb 0.500 0.500 0.000
5 Pd 0.375 0.128 0.753
6 Pd 0.375 0.622 0.247
7 Pd 0.378 0.625 0.753
8 Pd 0.546 0.046 0.500
9 Pd 0.872 0.625 0.247
10 Pd 0.954 0.454 0.500

---

The following is a PBE calculation of a relaxed Ac5SmCd6 crystal, from Alexandria via LeMat-Bulk.

Calculated values
As for the energy of formation: -3.49 eV/f.u. The total energy comes out at -0.10485 Ha/atom.

Cell: 9.864 9.864 5.695 Å, 106.75 106.75 119.89°
Positions (direct):
1 Ac 0.000 0.000 0.000
2 Ac 0.165 0.835 0.500
3 Ac 0.329 0.671 0.000
4 Ac 0.671 0.329 0.000
5 Ac 0.835 0.165 0.500
6 Sm 0.500 0.500 0.500
7 Cd 0.101 0.421 0.261
8 Cd 0.272 0.272 0.772
9 Cd 0.421 0.101 0.261
10 Cd 0.579 0.899 0.739
11 Cd 0.728 0.728 0.228
12 Cd 0.899 0.579 0.739

---

The following is a PBE calculation of a relaxed Cu4AsO6 crystal, from Alexandria via LeMat-Bulk.

Calculated values
Its formation energy without anion corrections is -0.6434 eV/atom. The total energy comes out at -0.19331 Ha/atom.

Cell: 5.499 5.499 10.367 Å, 103.02 103.02 63.31°
Positions (direct):
1 Cu 0.040 0.960 0.500
2 Cu 0.167 0.654 0.723
3 Cu 0.281 0.505 0.011
4 Cu 0.492 0.927 0.875
5 Cu 0.505 0.281 0.511
6 Cu 0.654 0.167 0.223
7 Cu 0.927 0.492 0.375
8 Cu 0.960 0.040 0.000
9 As 0.371 0.857 0.278
10 As 0.857 0.371 0.778
11 O 0.110 0.130 0.205
12 O 0.130 0.110 0.705
13 O 0.146 0.594 0.530
14 O 0.254 0.771 0.909
15 O 0.319 0.561 0.219
16 O 0.383 0.950 0.450
17 O 0.561 0.319 0.719
18 O 0.594 0.146 0.030
19 O 0.697 0.789 0.246
20 O 0.771 0.254 0.409
21 O 0.789 0.697 0.746
22 O 0.950 0.383 0.950